[1]
The following is a SCAN calculation of a PBEsol-optimized structure of LiAl2Ag2, from Alexandria via LeMat-Bulk.

Unit cell a=6.7896 b=6.7896 c=6.7896 alpha=146.94 beta=146.94 gamma=47.46
Positions (direct):
Li1 0.0000 0.0000 0.0000
Al1 0.3979 0.3979 0.0000
Al2 0.6021 0.6021 0.0000
Ag1 0.2500 0.7500 0.5000
Ag2 0.7500 0.2500 0.5000

E_form, eV/atom: 0.01
E above lowest polymorph, eV per atom: 0.206
Space group: No. 139
Spin magnetization, μB/atom: 0.0000
DOS(E_F), states/eV per cell: 2.0

[2]
The following is a SCAN calculation of a PBEsol-optimized structure of LiAl2Ag2, from Alexandria via LeMat-Bulk.

Unit cell a=7.7543 b=7.7543 c=2.8218 alpha=90.00 beta=90.00 gamma=90.00
Positions (direct):
Li1 0.0000 0.0000 0.0000
Li2 0.5000 0.5000 0.0000
Al1 0.1285 0.3715 0.5000
Al2 0.3715 0.8715 0.5000
Al3 0.6285 0.1285 0.5000
Al4 0.8715 0.6285 0.5000
Ag1 0.1705 0.6705 0.0000
Ag2 0.3295 0.1705 0.0000
Ag3 0.6705 0.8295 0.0000
Ag4 0.8295 0.3295 0.0000

E_form, eV/atom: -0.20
E above lowest polymorph, eV per atom: 0.000
Space group: No. 127
Spin magnetization, μB/atom: 0.0000
DOS(E_F), states/eV per cell: 2.1

[3]
The following is a SCAN calculation of a PBEsol-optimized structure of LiMgAlAg2, from Alexandria via LeMat-Bulk.

Unit cell a=4.9421 b=4.9421 c=5.0228 alpha=90.00 beta=90.00 gamma=90.00
Positions (direct):
Li1 0.0000 0.0000 0.0000
Mg1 0.5000 0.5000 0.5000
Al1 0.5000 0.5000 0.0000
Ag1 0.0000 0.5000 0.5000
Ag2 0.5000 0.0000 0.5000

E_form, eV/atom: 0.59
Space group: No. 123
Spin magnetization, μB/atom: 0.0000
DOS(E_F), states/eV per cell: 1.8

[4]
The following is a SCAN calculation of a PBEsol-optimized structure of Mg2Al2Ag, from Alexandria via LeMat-Bulk.

Unit cell a=6.6888 b=6.6888 c=4.3403 alpha=90.00 beta=90.00 gamma=90.00
Positions (direct):
Mg1 0.1658 0.3342 0.0000
Mg2 0.3342 0.8342 0.0000
Mg3 0.6658 0.1658 0.0000
Mg4 0.8342 0.6658 0.0000
Al1 0.1376 0.6376 0.5000
Al2 0.3624 0.1376 0.5000
Al3 0.6376 0.8624 0.5000
Al4 0.8624 0.3624 0.5000
Ag1 0.0000 0.0000 0.5000
Ag2 0.5000 0.5000 0.5000

E_form, eV/atom: -0.04
E above lowest polymorph, eV per atom: 0.000
Space group: No. 127
Spin magnetization, μB/atom: 0.0000
DOS(E_F), states/eV per cell: 3.8

[5]
The following is a SCAN calculation of a PBEsol-optimized structure of MgAl2Ag, from Alexandria via LeMat-Bulk.

Unit cell a=3.0314 b=3.9385 c=5.7858 alpha=90.00 beta=90.00 gamma=90.00
Positions (direct):
Mg1 0.0000 0.0000 0.0000
Al1 0.0000 0.0000 0.5011
Al2 0.5000 0.5000 0.7311
Ag1 0.5000 0.5000 0.2515

E_form, eV/atom: -0.06
Space group: No. 25
Spin magnetization, μB/atom: 0.0001
DOS(E_F), states/eV per cell: 1.5

[6]
The following is a SCAN calculation of a PBEsol-optimized structure of MgAl2Ag, from Alexandria via LeMat-Bulk.

Unit cell a=5.1245 b=5.1245 c=4.9972 alpha=102.61 beta=102.61 gamma=32.98
Positions (direct):
Mg1 0.0000 0.0000 0.0000
Al1 0.2380 0.2380 0.7415
Al2 0.7620 0.7620 0.2585
Ag1 0.5000 0.5000 0.5000

E_form, eV/atom: -0.05
Space group: No. 12
Spin magnetization, μB/atom: 0.0007
DOS(E_F), states/eV per cell: 1.5

[7]
The following is a SCAN calculation of a PBEsol-optimized structure of MgAl2Ag, from Alexandria via LeMat-Bulk.

Unit cell a=2.9044 b=2.9044 c=8.2083 alpha=90.00 beta=90.00 gamma=90.00
Positions (direct):
Mg1 0.0000 0.0000 0.0000
Al1 0.0000 0.0000 0.5181
Al2 0.5000 0.5000 0.2731
Ag1 0.5000 0.5000 0.7498

E_form, eV/atom: -0.05
Space group: No. 99
Spin magnetization, μB/atom: 0.0031
DOS(E_F), states/eV per cell: 1.4

[8]
The following is a SCAN calculation of a PBEsol-optimized structure of Mg2Al2Ag, from Alexandria via LeMat-Bulk.

Unit cell a=7.0667 b=7.0667 c=7.0667 alpha=147.25 beta=147.25 gamma=47.00
Positions (direct):
Mg1 0.2500 0.7500 0.5000
Mg2 0.7500 0.2500 0.5000
Al1 0.0947 0.0947 0.0000
Al2 0.9053 0.9053 0.0000
Ag1 0.5000 0.5000 0.0000

E_form, eV/atom: 0.32
E above lowest polymorph, eV per atom: 0.362
Space group: No. 139
Spin magnetization, μB/atom: 0.0000
DOS(E_F), states/eV per cell: 1.6

[9]
The following is a SCAN calculation of a PBEsol-optimized structure of Mg16Al12Ag, from Alexandria via LeMat-Bulk.

Unit cell a=8.9884 b=8.9884 c=9.0307 alpha=109.37 beta=109.37 gamma=109.11
Positions (direct):
Mg1 0.0000 0.0000 0.0000
Mg2 0.0010 0.4023 0.0271
Mg3 0.0035 0.6534 0.3491
Mg4 0.0051 0.6881 0.7452
Mg5 0.0064 0.0064 0.3493
Mg6 0.2881 0.6001 0.9448
Mg7 0.3135 0.3135 0.0536
Mg8 0.3244 0.7110 0.6588
Mg9 0.3693 0.3693 0.6842
Mg10 0.4023 0.0010 0.0271
Mg11 0.4120 0.6788 0.3533
Mg12 0.6001 0.2881 0.9448
Mg13 0.6534 0.0035 0.3491
Mg14 0.6788 0.4120 0.3533
Mg15 0.6881 0.0051 0.7452
Mg16 0.7110 0.3244 0.6588
Al1 0.0030 0.1900 0.7102
Al2 0.1809 0.3638 0.3375
Al3 0.1841 0.8112 0.1582
Al4 0.1900 0.0030 0.7102
Al5 0.3638 0.1809 0.3375
Al6 0.3707 0.9992 0.5275
Al7 0.6342 0.8206 0.9796
Al8 0.6372 0.6372 0.1677
Al9 0.8112 0.1841 0.1582
Al10 0.8185 0.8185 0.5305
Al11 0.8206 0.6342 0.9796
Al12 0.9992 0.3707 0.5275
Ag1 0.6505 0.6505 0.6726

E_form, eV/atom: -0.04
Space group: No. 8
Spin magnetization, μB/atom: 0.0000
DOS(E_F), states/eV per cell: 10.0

[10]
The following is a SCAN calculation of a PBEsol-optimized structure of Mg2Al2Ag, from Alexandria via LeMat-Bulk.

Unit cell a=8.3438 b=8.3438 c=2.8733 alpha=90.00 beta=90.00 gamma=90.00
Positions (direct):
Mg1 0.1835 0.3165 0.0000
Mg2 0.3165 0.8165 0.0000
Mg3 0.6835 0.1835 0.0000
Mg4 0.8165 0.6835 0.0000
Al1 0.1142 0.6142 0.5000
Al2 0.3858 0.1142 0.5000
Al3 0.6142 0.8858 0.5000
Al4 0.8858 0.3858 0.5000
Ag1 0.0000 0.0000 0.0000
Ag2 0.5000 0.5000 0.0000

E_form, eV/atom: 0.22
E above lowest polymorph, eV per atom: 0.262
Space group: No. 127
Spin magnetization, μB/atom: 0.0000
DOS(E_F), states/eV per cell: 3.8

[11]
The following is a SCAN calculation of a PBEsol-optimized structure of Mg17Al11Ag, from Alexandria via LeMat-Bulk.

Unit cell a=9.0275 b=9.0275 c=9.0474 alpha=109.49 beta=109.49 gamma=109.24
Positions (direct):
Mg1 0.0000 0.0000 0.0000
Mg2 0.0002 0.6020 0.9711
Mg3 0.0005 0.0005 0.6541
Mg4 0.0012 0.3445 0.6543
Mg5 0.0031 0.3154 0.2599
Mg6 0.2850 0.6842 0.3398
Mg7 0.3154 0.0031 0.2599
Mg8 0.3168 0.5982 0.6553
Mg9 0.3445 0.0012 0.6543
Mg10 0.3967 0.3967 0.3706
Mg11 0.4006 0.7167 0.0554
Mg12 0.5982 0.3168 0.6553
Mg13 0.6020 0.0002 0.9711
Mg14 0.6543 0.6543 0.3104
Mg15 0.6842 0.2850 0.3398
Mg16 0.6858 0.6858 0.9443
Mg17 0.7167 0.4006 0.0554
Al1 0.0004 0.6329 0.4690
Al2 0.0018 0.8176 0.2896
Al3 0.1822 0.3678 0.0221
Al4 0.1856 0.8188 0.8403
Al5 0.3678 0.1822 0.0221
Al6 0.3684 0.3684 0.8356
Al7 0.6329 0.0004 0.4690
Al8 0.6327 0.8146 0.6558
Al9 0.8146 0.6327 0.6558
Al10 0.8176 0.0018 0.2896
Al11 0.8188 0.1856 0.8403
Ag1 0.1892 0.1892 0.4779

E_form, eV/atom: -0.05
Space group: No. 8
Spin magnetization, μB/atom: 0.0000
DOS(E_F), states/eV per cell: 10.0

[12]
The following is a SCAN calculation of a PBEsol-optimized structure of MgAl2Ag, from Alexandria via LeMat-Bulk.

Unit cell a=4.3594 b=5.4782 c=5.4782 alpha=32.52 beta=90.00 gamma=90.00
Positions (direct):
Mg1 0.0000 0.0000 0.0000
Al1 0.0000 0.7399 0.7399
Al2 0.5000 0.3353 0.3353
Ag1 0.5000 0.5957 0.5957

E_form, eV/atom: -0.06
Space group: No. 38
Spin magnetization, μB/atom: 0.0000
DOS(E_F), states/eV per cell: 1.3

[13]
The following is a SCAN calculation of a PBEsol-optimized structure of MgAl2Ag, from Alexandria via LeMat-Bulk.

Unit cell a=4.9908 b=4.9908 c=4.9908 alpha=130.97 beta=130.97 gamma=71.86
Positions (direct):
Mg1 0.0000 0.0000 0.0000
Al1 0.5000 0.5000 0.0000
Al2 0.7500 0.2500 0.5000
Ag1 0.2500 0.7500 0.5000

E_form, eV/atom: -0.04
Space group: No. 119
Spin magnetization, μB/atom: 0.0003
DOS(E_F), states/eV per cell: 1.5